Record 1
Entry from Alexandria via LeMat-Bulk: a relaxed structure of ZnAgPtF6 (PBE).

a b c (Å): 5.5584 5.5584 10.1742
angles (deg): 90.00 90.00 120.00
Closest atoms and distances in Å follow each position.
Space group P-31c (No. 163)
Unique sites:
Zn: 0.3333 0.6667 0.2500 (multiplicity 2)  6 F 2.08
Ag: 0.0000 0.0000 0.0000 (multiplicity 2)  6 F 2.46
Pt: 0.3333 0.6667 0.7500 (multiplicity 2)  6 F 2.10
F: 0.0029 0.3583 0.1435 (multiplicity 12)  1 Zn 2.08, 1 Pt 2.10

Summary:
The raw total energy comes out at -69.15 eV/cell. For the total moment, the calculation gives 2.0 μB/cell.

***

Record 2
Entry from Alexandria via LeMat-Bulk: a relaxed structure of Pu2AgF8 (PBE).

a b c (Å): 11.5234 7.3758 4.0981
angles (deg): 90.00 107.97 90.00
Closest atoms and distances in Å follow each position.
Space group C2/m (No. 12)
Unique sites:
Pu: 0.1723 0.0000 0.4135 (multiplicity 4)  6 F 2.23-2.45
Ag: 0.0000 0.5000 0.0000 (multiplicity 2)  6 F 2.43-2.59
F: 0.0567 0.0000 0.8029 (multiplicity 4)  3 F 2.37-2.42, 3 Pu 2.37-2.51
F: 0.1385 0.2980 0.4070 (multiplicity 8)  1 Pu 2.23, 1 Ag 2.43
F: 0.2232 0.5000 0.9903 (multiplicity 4)  2 Pu 2.33-2.37, 1 F 2.41, 1 Ag 2.59

Summary:
The raw total energy comes out at -160.66 eV/cell. For the total moment, the calculation gives 18.0 μB/cell. For the polymorph energy (0 for the lowest one), the calculation gives 0.000 eV per atom.

***

Record 3
Entry from Alexandria via LeMat-Bulk: a relaxed structure of PuAgF6 (PBE).

a b c (Å): 5.7376 5.7376 10.9029
angles (deg): 90.00 90.00 120.00
Closest atoms and distances in Å follow each position.
Space group P-31c (No. 163)
Unique sites:
Pu: 0.0000 0.0000 0.0000 (multiplicity 2)  6 F 2.09
Ag: 0.3333 0.6667 0.2500 (multiplicity 2)  6 F 2.40
F: 0.0438 0.3148 0.1122 (multiplicity 12)  1 Pu 2.09

Summary:
The raw total energy comes out at -99.46 eV/cell. For the total moment, the calculation gives 6.0 μB/cell.

***

Number 1: uncorrected formation energy -1465 meV per atom. Number 2: uncorrected formation energy -3077 meV per atom. Number 3: uncorrected formation energy -2665 meV per atom.